Density functional theory data (PBE+U) for a relaxed structure of MnO.

## Properties
- space group = Amm2, No. 38
- final energy (eV/atom) = -7.621
- DOS at the Fermi energy (states/eV/cell) = 1.2

```
data_MnO
_space_group_name_H-M_alt 'P 1'
_space_group_IT_number 1
_cell_length_a 3.163
_cell_length_b 9.901
_cell_length_c 5.930
_cell_angle_alpha 90.00
_cell_angle_beta 90.00
_cell_angle_gamma 90.00
loop_
_space_group_symop_operation_xyz
'x,y,z'
loop_
_atom_site_label
_atom_site_fract_x
_atom_site_fract_y
_atom_site_fract_z
O1 0.500 0.210 0.644
O2 0.000 0.500 0.889
Mn1 0.000 0.790 0.353
O3 0.500 0.710 0.144
O4 0.500 0.290 0.144
Mn2 0.000 0.290 0.853
Mn3 0.500 0.500 0.118
Mn4 0.000 0.710 0.853
Mn5 0.000 0.210 0.353
Mn6 0.500 0.000 0.618
O5 0.000 0.000 0.389
O6 0.500 0.790 0.644
```